Entry 1:
CaRu: optimized geometry, PBE.

Structure (POSCAR):
```
CaRu
1.0
4.0075 0.0000 0.0000
-2.0037 3.4706 0.0000
0.0000 0.0000 8.1495
Ca Ru
2 2
direct
0.0000 0.0000 0.0000
0.3333 0.6667 0.4257
0.0000 0.0000 0.6523
0.6667 0.3333 0.7249
```

Summary:
ρ	4.14	g cm⁻³
total energy	-5.4568	eV per atom


Entry 2:
Ca3Ru: optimized geometry, PBE.

Structure (POSCAR):
```
Ca3Ru
1.0
7.9959 0.0000 0.0000
0.0000 9.2764 0.0000
0.0000 0.0000 6.1927
Ca Ru
12 4
direct
0.0368 0.2500 0.1222
0.1673 0.0652 0.6438
0.1673 0.4348 0.6438
0.3327 0.5652 0.1438
0.3327 0.9348 0.1438
0.4632 0.7500 0.6222
0.5368 0.2500 0.3778
0.6673 0.0652 0.8562
0.6673 0.4348 0.8562
0.8327 0.5652 0.3562
0.8327 0.9348 0.3562
0.9632 0.7500 0.8778
0.1282 0.7500 0.4442
0.3718 0.2500 0.9442
0.6282 0.7500 0.0558
0.8718 0.2500 0.5558
```

Summary:
ρ	3.20	g cm⁻³
total energy	-3.7591	eV per atom


Entry 3:
CaRu: optimized geometry, PBE.

Structure (POSCAR):
```
CaRu
1.0
3.9943 0.0000 0.0000
0.0000 14.1339 0.0000
0.0000 0.0000 4.5752
Ca Ru
6 6
direct
0.2500 0.0900 0.0053
0.2500 0.4100 0.0053
0.2500 0.7500 0.1714
0.7500 0.2500 0.8286
0.7500 0.5900 0.9947
0.7500 0.9100 0.9947
0.2500 0.2500 0.3952
0.2500 0.5487 0.5069
0.2500 0.9513 0.5069
0.7500 0.0487 0.4931
0.7500 0.4513 0.4931
0.7500 0.7500 0.6048
```

Summary:
ρ	5.44	g cm⁻³
total energy	-5.1442	eV per atom


Entry 4:
Ca2Ru: optimized geometry, PBE.

Structure (POSCAR):
```
Ca2Ru
1.0
4.8577 0.0000 0.0000
-2.4289 4.2069 0.0000
0.0000 0.0000 3.4810
Ca Ru
2 1
direct
0.3333 0.6667 0.2205
0.6667 0.3333 0.7795
0.0000 0.0000 0.5000
```

Summary:
ρ	4.23	g cm⁻³
total energy	-4.0642	eV per atom


Entry 5:
CaRu: optimized geometry, PBE.

Structure (POSCAR):
```
CaRu
1.0
0.0000 4.2912 7.2646
2.7633 0.0000 7.2646
2.7633 4.2912 0.0000
Ca Ru
4 4
direct
0.0423 0.7077 0.0423
0.2923 0.9577 0.2923
0.7077 0.0423 0.7077
0.9577 0.2923 0.9577
0.2939 0.2939 0.4561
0.4561 0.4561 0.2939
0.5439 0.5439 0.7061
0.7061 0.7061 0.5439
```

Summary:
ρ	5.44	g cm⁻³
total energy	-5.3249	eV per atom


Entry 6:
CaRu: optimized geometry, PBE.

Structure (POSCAR):
```
CaRu
1.0
3.2813 0.0000 0.0000
0.0000 4.9817 0.0000
0.0000 0.0000 10.3898
Ca Ru
4 4
direct
0.0000 0.2500 0.1067
0.0000 0.7500 0.8933
0.5000 0.2500 0.3933
0.5000 0.7500 0.6067
0.0000 0.2500 0.6589
0.0000 0.7500 0.3411
0.5000 0.2500 0.8411
0.5000 0.7500 0.1589
```

Summary:
ρ	5.52	g cm⁻³
total energy	-5.3517	eV per atom


Entry 7:
CaRu: optimized geometry, PBE.

Structure (POSCAR):
```
CaRu
1.0
9.6800 0.0000 0.0000
0.0000 9.6800 0.0000
0.0000 0.0000 4.2746
Ca Ru
8 8
direct
0.1153 0.2110 0.0000
0.2110 0.8847 0.0000
0.2890 0.3847 0.5000
0.3847 0.7110 0.5000
0.6153 0.2890 0.5000
0.7110 0.6153 0.5000
0.7890 0.1153 0.0000
0.8847 0.7890 0.0000
0.0523 0.6249 0.5000
0.1249 0.5523 0.0000
0.3751 0.0523 0.5000
0.4477 0.1249 0.0000
0.5523 0.8751 0.0000
0.6249 0.9477 0.5000
0.8751 0.4477 0.0000
0.9477 0.3751 0.5000
```

Summary:
ρ	4.68	g cm⁻³
total energy	-5.3084	eV per atom


Entry 8:
CaRu: optimized geometry, PBE.

Structure (POSCAR):
```
CaRu
1.0
8.7219 0.0000 0.0000
0.0000 8.7219 0.0000
0.0000 0.0000 8.7219
Ca Ru
8 8
direct
0.2077 0.2077 0.2077
0.2077 0.7923 0.7923
0.2923 0.2923 0.7077
0.2923 0.7077 0.2923
0.7077 0.2923 0.2923
0.7077 0.7077 0.7077
0.7923 0.2077 0.7923
0.7923 0.7923 0.2077
0.1031 0.1031 0.8969
0.1031 0.8969 0.1031
0.3969 0.3969 0.3969
0.3969 0.6031 0.6031
0.6031 0.3969 0.6031
0.6031 0.6031 0.3969
0.8969 0.1031 0.1031
0.8969 0.8969 0.8969
```

Summary:
ρ	2.83	g cm⁻³
total energy	-4.5897	eV per atom


Entry 9:
Ca4Ru: optimized geometry, PBE.

Structure (POSCAR):
```
Ca4Ru
1.0
4.1507 0.0000 0.0000
0.0000 4.1507 0.0000
0.0000 0.0000 18.8654
Ca Ru
8 2
direct
0.0000 0.0000 0.0811
0.0000 0.0000 0.9189
0.0000 0.5000 0.2500
0.0000 0.5000 0.7500
0.5000 0.0000 0.2500
0.5000 0.0000 0.7500
0.5000 0.5000 0.4189
0.5000 0.5000 0.5811
0.0000 0.0000 0.5000
0.5000 0.5000 0.0000
```

Summary:
ρ	2.67	g cm⁻³
total energy	-2.6574	eV per atom
polymorph energy (0 for the lowest one)	764.5	meV/atom


Entry 10:
Ca3Ru: optimized geometry, PBE.

Structure (POSCAR):
```
Ca3Ru
1.0
3.6473 0.0000 0.0000
-1.8236 3.1586 0.0000
0.0000 0.0000 10.6648
Ca Ru
3 1
direct
0.0000 0.0000 0.0000
0.3333 0.6667 0.3185
0.3333 0.6667 0.6815
0.0000 0.0000 0.5000
```

Summary:
ρ	2.99	g cm⁻³
total energy	-3.5026	eV per atom


Entry 11:
CaRu: optimized geometry, PBE.

Structure (POSCAR):
```
CaRu
1.0
3.1367 0.0000 0.0000
-1.5684 2.7165 0.0000
0.0000 0.0000 9.1854
Ca Ru
2 2
direct
0.0000 0.0000 0.0000
0.0000 0.0000 0.5000
0.3333 0.6667 0.2500
0.6667 0.3333 0.7500
```

Summary:
ρ	5.99	g cm⁻³
total energy	-5.0288	eV per atom


Entry 12:
Ca5Ru: optimized geometry, PBE.

Structure (POSCAR):
```
Ca5Ru
1.0
6.4191 0.0000 0.0000
-3.2096 5.5591 0.0000
0.0000 0.0000 5.2537
Ca Ru
5 1
direct
0.0000 0.7107 0.0000
0.2893 0.2893 0.0000
0.3333 0.6667 0.5000
0.6667 0.3333 0.5000
0.7107 0.0000 0.0000
0.0000 0.0000 0.5000
```

Summary:
ρ	2.67	g cm⁻³
total energy	-2.9319	eV per atom
polymorph energy (0 for the lowest one)	184.5	meV/atom